1.
Density functional theory data (PBEsol) for a relaxed structure of LiTcF2.

Cell: 4.756 5.277 4.756 Å, 63.21 90.00 116.79°
Site moments in Bohr magnetons follow the coordinates.
Fractional positions:
Li  0.250  0.500  0.250  0.00
Li  0.500  0.000  0.500  0.00
Tc  0.750  0.500  0.750  1.63
Tc  0.000  0.000  0.000  1.63
F  0.547  0.750  0.375  0.05
F  0.203  0.750  0.875  0.05
F  0.875  0.250  0.547  0.05
F  0.375  0.250  0.203  0.05

Values from the calculation:
Symmetry: I-42d (122)
Size of the total moment (μB per formula unit): 1.9
DFT total energy (eV per cell): -42.547
Energy relative to the elements, uncorrected (meV/atom): -1046

2.
Density functional theory data (PBEsol) for a relaxed structure of LiTcF2.

Cell: 2.646 2.646 7.441 Å, 79.76 79.76 60.00°
Fractional positions:
Li  0.000  0.000  0.000
Tc  0.500  0.500  0.500
F  0.924  0.924  0.227
F  0.076  0.076  0.773

Values from the calculation:
Symmetry: R-3m (166)
Size of the total moment (μB per formula unit): 0.0
DFT total energy (eV per cell): -21.473
Energy relative to the elements, uncorrected (meV/atom): -1096